First-principles (PBE) data for a relaxed structure of BaSiBr2, as listed in Alexandria.

Calculated volume: 133.0 Å³ per cell
Offset from the most stable computed form: 94 meV/atom
Theoretical density: 4.06 g/cm3
Formation energy without anion corrections: -0.758 eV/atom

abc: 5.583 5.583 5.952
angles: 93.55 93.55 45.94
Fractional coordinates of all 4 atoms:
Ba: 0.000 0.000 0.000
Si: 0.500 0.500 0.500
Br: 0.294 0.294 0.753
Br: 0.706 0.706 0.247